Compound: Tc3Au
Source: Alexandria via LeMat-Bulk
Functional: PBE-GGA
Structure: relaxed

Density of states at the Fermi level ... 4.27 states/eV/cell
SG ... No. 187
Electronic total energy ... -8.450 eV per atom

Lattice parameters (Å, degrees): 2.7906 2.7906 9.1063 90.00 90.00 120.00
Closest atoms and distances in Å follow each position.
Fractional positions:
Au 0.0000 0.0000 0.0000  6 Au 2.79, 6 Tc 2.91
Tc 0.0000 0.0000 0.5000  12 Tc 2.67-2.79
Tc 0.3333 0.6667 0.2662  9 Tc 2.67-2.79, 3 Au 2.91
Tc 0.3333 0.6667 0.7338  9 Tc 2.67-2.79, 3 Au 2.91

Compound: TcTe2Au
Source: Alexandria via LeMat-Bulk
Functional: PBE-GGA
Structure: relaxed

ΔE_f (raw) ... 0.640 eV per atom
Excess energy over the best structure of this formula in the dataset ... 581 meV/atom
Density of states at the Fermi level ... 4.01 states/eV/cell
SG ... No. 119
Electronic total energy ... -4.342 eV per atom

Lattice parameters (Å, degrees): 5.8204 5.8204 5.8204 138.30 138.30 60.44
Closest atoms and distances in Å follow each position.
Fractional positions:
Au 0.5000 0.5000 0.0000  8 Te 2.93-3.26, 4 Tc 3.26
Tc 0.7500 0.2500 0.5000  8 Te 2.93-3.26, 4 Au 3.26
Te 0.0000 0.0000 0.0000  4 Au 2.93, 4 Tc 3.26, 4 Te 3.26
Te 0.2500 0.7500 0.5000  4 Tc 2.93, 4 Au 3.26, 4 Te 3.26